1.
Er5BiAu2: relaxed, GGA-PBE.

```
data_Er5BiAu2
_cell_length_a 7.4437
_cell_length_b 7.4437
_cell_length_c 16.8429
_cell_angle_alpha 90.00
_cell_angle_beta 90.00
_cell_angle_gamma 90.00
_space_group_name_H-M_alt 'I 4/m c m'
_space_group_IT_number 140
_space_group_name_Hall '-I 4 2c'
loop_
_atom_site_label
_atom_site_fract_x
_atom_site_fract_y
_atom_site_fract_z
Er1 0.0000 0.0000 0.0000
Er2 0.1606 0.3394 0.1667
Bi1 0.0000 0.0000 0.2500
Au1 0.1280 0.3720 0.0000
```

## Properties
Its total energy is -4.482 eV/atom.

2.
TlZnTeF: relaxed, GGA-PBE.

```
data_TlZnTeF
_cell_length_a 5.8941
_cell_length_b 5.9073
_cell_length_c 9.8095
_cell_angle_alpha 90.00
_cell_angle_beta 90.00
_cell_angle_gamma 90.00
_space_group_name_H-M_alt 'C m m e'
_space_group_IT_number 67
_space_group_name_Hall '-C 2a 2'
loop_
_atom_site_label
_atom_site_fract_x
_atom_site_fract_y
_atom_site_fract_z
Tl1 0.2500 0.0000 0.0000
Zn1 0.0000 0.2500 0.3925
Te1 0.0000 0.2500 0.7411
F1 0.2500 0.0000 0.5000
```

## Properties
The calculation puts the energy above the lowest structure with this stoichiometry at 2.003 eV/f.u.

3.
Re2Mo: relaxed, GGA-PBE.

```
data_Re2Mo
_cell_length_a 5.1235
_cell_length_b 5.1235
_cell_length_c 8.3577
_cell_angle_alpha 90.00
_cell_angle_beta 90.00
_cell_angle_gamma 120.00
_space_group_name_H-M_alt 'P 63/m m c'
_space_group_IT_number 194
_space_group_name_Hall '-P 6c 2c'
loop_
_atom_site_label
_atom_site_fract_x
_atom_site_fract_y
_atom_site_fract_z
Re1 0.0000 0.0000 0.0000
Re2 0.1721 0.3441 0.2500
Mo1 0.3333 0.6667 0.5665
```

## Properties
The calculation puts the energy above the lowest structure with this stoichiometry at 0.000 eV/f.u. For the energy of formation, the calculation gives 0.133 eV per atom.

4.
Ba2P4W: relaxed, GGA-PBE.

```
data_Ba2P4W
_cell_length_a 9.9508
_cell_length_b 11.9021
_cell_length_c 3.8140
_cell_angle_alpha 90.00
_cell_angle_beta 90.00
_cell_angle_gamma 90.00
_space_group_name_H-M_alt 'C m m m'
_space_group_IT_number 65
_space_group_name_Hall '-C 2 2'
loop_
_atom_site_label
_atom_site_fract_x
_atom_site_fract_y
_atom_site_fract_z
Ba1 0.2500 0.2500 0.0000
P1 0.0000 0.2036 0.5000
P2 0.1626 0.0000 0.0000
W1 0.0000 0.0000 0.5000
```

## Properties
Its total energy is -5.704 eV/atom.

5.
SmHoNi8B2: relaxed, GGA-PBE.

```
data_SmHoNi8B2
_cell_length_a 4.9983
_cell_length_b 4.9983
_cell_length_c 6.9836
_cell_angle_alpha 90.00
_cell_angle_beta 90.00
_cell_angle_gamma 120.00
_space_group_name_H-M_alt 'P 6/m m m'
_space_group_IT_number 191
_space_group_name_Hall '-P 6 2'
loop_
_atom_site_label
_atom_site_fract_x
_atom_site_fract_y
_atom_site_fract_z
Sm1 0.0000 0.0000 0.0000
Ho1 0.0000 0.0000 0.5000
Ni1 0.0000 0.5000 0.2940
Ni2 0.3333 0.6667 0.0000
B1 0.3333 0.6667 0.5000
```

## Properties
The calculation puts the energy above the lowest structure with this stoichiometry at 0.000 eV/f.u.

6.
PmNbIn: relaxed, GGA-PBE.

```
data_PmNbIn
_cell_length_a 7.1444
_cell_length_b 7.1444
_cell_length_c 7.1444
_cell_angle_alpha 90.00
_cell_angle_beta 90.00
_cell_angle_gamma 90.00
_space_group_name_H-M_alt 'F -4 3 m'
_space_group_IT_number 216
_space_group_name_Hall 'F -4 2 3'
loop_
_atom_site_label
_atom_site_fract_x
_atom_site_fract_y
_atom_site_fract_z
Pm1 0.0000 0.0000 0.0000
Nb1 0.2500 0.2500 0.2500
In1 0.2500 0.2500 0.7500
```

## Properties
The calculation puts the energy above the lowest structure with this stoichiometry at 1.253 eV/f.u.

7.
TbPtPbSe3: relaxed, GGA-PBE.

```
data_TbPtPbSe3
_cell_length_a 3.8988
_cell_length_b 14.5382
_cell_length_c 10.6353
_cell_angle_alpha 90.00
_cell_angle_beta 90.00
_cell_angle_gamma 90.00
_space_group_name_H-M_alt 'C m c m'
_space_group_IT_number 63
_space_group_name_Hall '-C 2c 2'
loop_
_atom_site_label
_atom_site_fract_x
_atom_site_fract_y
_atom_site_fract_z
Tb1 0.0000 0.0000 0.0000
Pt1 0.0000 0.4646 0.2500
Pb1 0.0000 0.2094 0.7500
Se1 0.0000 0.0772 0.2500
Se2 0.0000 0.3574 0.0501
```

## Properties
Its total energy is -5.073 eV/atom.

8.
Sc2Al3W4N3: relaxed, GGA-PBE.

```
data_Sc2Al3W4N3
_cell_length_a 9.3275
_cell_length_b 5.4092
_cell_length_c 13.6281
_cell_angle_alpha 90.00
_cell_angle_beta 103.34
_cell_angle_gamma 90.00
_space_group_name_H-M_alt 'C 1 2/c 1'
_space_group_IT_number 15
loop_
_space_group_symop_operation_xyz
'x,y,z'
'-x,-y,-z'
'-x,y,-z+1/2'
'x,-y,z+1/2'
'x+1/2,y+1/2,z'
'-x+1/2,-y+1/2,-z'
'-x+1/2,y+1/2,-z+1/2'
'x+1/2,-y+1/2,z+1/2'
loop_
_atom_site_label
_atom_site_fract_x
_atom_site_fract_y
_atom_site_fract_z
Sc1 0.0466 0.0831 0.3903
Al1 0.0000 0.4429 0.7500
Al2 0.2374 0.1548 0.7501
W1 0.1110 0.4252 0.5782
W2 0.2189 0.4125 0.9210
N1 0.0755 0.2272 0.0000
N2 0.2500 0.2500 0.5000
```

## Properties
Its total energy is -8.887 eV/atom.